Crystalline TcHIN2 at its relaxed geometry, computed with GGA-PBE.

Unit cell a=3.785 b=3.785 c=5.858 alpha=90.00 beta=90.00 gamma=90.00
Positions (direct):
Tc: 0.000 0.000 0.000
N: 0.000 0.500 0.000
I: 0.000 0.000 0.500
H: 0.500 0.500 0.500
N: 0.500 0.000 0.000

- total magnetic moment (Bohr magnetons per cell) = 0.09
- symmetry = P4/mmm, No. 123
- N(E_F) (states/eV per cell) = 3.2
- raw total energy (eV per formula unit) = -27.29